Entry 1:
A plane-wave DFT calculation with PBE was carried out for a geometry-optimized Tb2PrGa2Cu2 structure.

Lattice parameters (Å, degrees): 4.4457 4.4457 9.5738 76.57 76.57 60.00
Atoms (fractional coordinates):
Tb: 0.1254 0.1254 0.6238
Tb: 0.8746 0.8746 0.3762
Pr: 0.0000 0.0000 0.0000
Ga: 0.7408 0.7408 0.7775
Ga: 0.2592 0.2592 0.2225
Cu: 0.5955 0.5955 0.2134
Cu: 0.4045 0.4045 0.7866

Computed properties:
Fermi-level density of states, states/eV/cell: 5.070
Energy of formation, eV/atom: -0.3833
V, Å³ per cell: 157.9

***

Entry 2:
A plane-wave DFT calculation with PBE was carried out for a geometry-optimized TbPrGaCu structure.

Lattice parameters (Å, degrees): 5.1208 5.1208 5.1208 60.00 60.00 60.00
Atoms (fractional coordinates):
Pr: 0.0000 0.0000 0.0000
Tb: 0.5000 0.5000 0.5000
Cu: 0.7500 0.7500 0.7500
Ga: 0.2500 0.2500 0.2500

Computed properties:
Fermi-level density of states, states/eV/cell: 3.902
Energy of formation, eV/atom: -0.3544
V, Å³ per cell: 95.0

***

Entry 3:
A plane-wave DFT calculation with PBE was carried out for a geometry-optimized PrTm2Ga2Cu2 structure.

Lattice parameters (Å, degrees): 4.4255 4.4255 9.4184 76.41 76.41 60.00
Atoms (fractional coordinates):
Pr: 0.0000 0.0000 0.0000
Tm: 0.1263 0.1263 0.6211
Tm: 0.8737 0.8737 0.3789
Ga: 0.7432 0.7432 0.7705
Ga: 0.2568 0.2568 0.2295
Cu: 0.5920 0.5920 0.2241
Cu: 0.4080 0.4080 0.7759

Computed properties:
Fermi-level density of states, states/eV/cell: 4.718
Energy of formation, eV/atom: -0.3862
V, Å³ per cell: 153.8

***

Entry 4:
A plane-wave DFT calculation with PBE was carried out for a geometry-optimized Pr2YGa2Cu2 structure.

Lattice parameters (Å, degrees): 4.4100 4.4100 9.8647 77.08 77.08 60.00
Atoms (fractional coordinates):
Pr: 0.1229 0.1229 0.6313
Pr: 0.8771 0.8771 0.3687
Y: 0.0000 0.0000 0.0000
Ga: 0.7295 0.7295 0.8116
Ga: 0.2705 0.2705 0.1884
Cu: 0.6093 0.6093 0.1720
Cu: 0.3907 0.3907 0.8280

Computed properties:
Fermi-level density of states, states/eV/cell: 5.539
Energy of formation, eV/atom: -0.3897
V, Å³ per cell: 160.5